## RbSe2F2 (PBE)

Data for an optimized crystal structure of RbSe2F2.

Computed properties:
Magnetic moment = 1.000 μB/f.u.
Calculated volume = 26.6 A^3/atom
Uncorrected formation energy = -1.0633 eV per atom
Crystal system = tetragonal
DOS at the Fermi energy = 0.00 states/eV per cell
ΔE to the lowest computed polymorph = 0.0151 eV per atom

abc: 8.2405 8.2405 3.9192
angles: 90.00 90.00 90.00
Closest atoms and distances in Å follow each position.
Sites, in units of the cell vectors:
Se: 0.4077 0.9077 0.0000  1 Se 2.15
Se: 0.9077 0.5923 0.0000  1 Se 2.15
Se: 0.5923 0.0923 0.0000  1 Se 2.15
Se: 0.0923 0.4077 0.0000  1 Se 2.15
Rb: 0.0000 0.0000 0.0000  4 Se 3.44, 8 F 3.52
Rb: 0.5000 0.5000 0.0000  4 Se 3.44, 8 F 3.52
F: 0.2757 0.7757 0.5000  2 Se 2.49
F: 0.7757 0.7243 0.5000  2 Se 2.49
F: 0.7243 0.2243 0.5000  2 Se 2.49
F: 0.2243 0.2757 0.5000  2 Se 2.49



## RbSeF5 (PBE)

Data for an optimized crystal structure of RbSeF5.

Computed properties:
Magnetic moment = 0.000 μB/f.u.
Calculated volume = 20.1 A^3/atom
Uncorrected formation energy = -2.1110 eV per atom
Crystal system = monoclinic
DOS at the Fermi energy = 0.00 states/eV per cell

abc: 7.1648 7.1648 7.1733
angles: 104.18 113.40 110.93
Closest atoms and distances in Å follow each position.
Sites, in units of the cell vectors:
Rb: 0.5042 0.7556 0.2526  6 F 2.85-3.09
Rb: 0.4971 0.2484 0.7526  6 F 2.85-3.09
Se: 0.9927 0.9895 0.9973  5 F 1.79-1.90
Se: 0.0078 0.5046 0.4973  5 F 1.79-1.90
F: 0.2314 0.0057 0.2552  1 Se 1.90
F: 0.2360 0.6965 0.4610  1 Se 1.88
F: 0.2495 0.5239 0.7552  1 Se 1.90
F: 0.9304 0.1236 0.1908  1 Se 1.79
F: 0.2108 0.2812 0.0703  1 Se 1.89
F: 0.7645 0.7250 0.9610  1 Se 1.88
F: 0.0672 0.7604 0.6908  1 Se 1.79
F: 0.7682 0.5215 0.2727  1 Se 1.90
F: 0.7891 0.3595 0.5703  1 Se 1.89
F: 0.7512 0.0045 0.7727  1 Se 1.90



## RbSeF3 (PBE)

Data for an optimized crystal structure of RbSeF3.

Computed properties:
Magnetic moment = 0.000 μB/f.u.
Calculated volume = 22.6 A^3/atom
Uncorrected formation energy = -1.8763 eV per atom
Crystal system = monoclinic
DOS at the Fermi energy = 0.00 states/eV per cell
ΔE to the lowest computed polymorph = 0.0662 eV per atom

abc: 7.0974 8.0579 8.4041
angles: 109.72 90.00 90.00
Closest atoms and distances in Å follow each position.
Sites, in units of the cell vectors:
Rb: 0.7167 0.9907 0.6664  6 F 2.81-3.07
Rb: 0.2833 0.0093 0.3336  6 F 2.81-3.07
Rb: 0.2167 0.5093 0.8336  6 F 2.81-3.07
Rb: 0.7833 0.4907 0.1664  6 F 2.81-3.07
Se: 0.3008 0.5070 0.3646  3 F 1.83-2.01
Se: 0.6992 0.4930 0.6354  3 F 1.83-2.01
Se: 0.8008 0.9930 0.1354  3 F 1.83-2.01
Se: 0.1992 0.0070 0.8646  3 F 1.83-2.01
F: 0.9008 0.6427 0.6898  1 Se 1.83
F: 0.0992 0.3573 0.3102  1 Se 1.83
F: 0.4008 0.8573 0.8102  1 Se 1.83
F: 0.5992 0.1427 0.1898  1 Se 1.83
F: 0.6242 0.6345 0.4896  1 Se 2.01
F: 0.3758 0.3655 0.5104  1 Se 2.01
F: 0.1242 0.8655 0.0104  1 Se 2.01
F: 0.8758 0.1345 0.9896  1 Se 2.01
F: 0.1916 0.6232 0.2109  1 Se 1.99
F: 0.8084 0.3768 0.7891  1 Se 1.99
F: 0.6916 0.8768 0.2891  1 Se 1.99
F: 0.3084 0.1232 0.7109  1 Se 1.99



## Rb2Se4F (PBE)

Data for an optimized crystal structure of Rb2Se4F.

Computed properties:
Magnetic moment = 0.000 μB/f.u.
Calculated volume = 29.7 A^3/atom
Uncorrected formation energy = -0.1563 eV per atom
Crystal system = tetragonal
DOS at the Fermi energy = 6.86 states/eV per cell

abc: 4.9115 4.9115 9.2915
angles: 74.67 74.67 90.00
Closest atoms and distances in Å follow each position.
Sites, in units of the cell vectors:
Se: 0.8632 0.8632 0.2737  1 F 2.36
Se: 0.1368 0.1368 0.7263  1 F 2.36
Se: 0.0000 0.5000 0.0000  2 F 2.46
Se: 0.5000 0.0000 0.0000  2 F 2.46
Rb: 0.6501 0.6501 0.6997  9 Se 3.48-3.67
Rb: 0.3499 0.3499 0.3003  9 Se 3.48-3.67
F: 0.0000 0.0000 0.0000  6 Se 2.36-2.46



## Rb2SeF (PBE)

Data for an optimized crystal structure of Rb2SeF.

Computed properties:
Magnetic moment = 0.000 μB/f.u.
Calculated volume = 26.1 A^3/atom
Uncorrected formation energy = -1.5920 eV per atom
Crystal system = tetragonal
DOS at the Fermi energy = 1.50 states/eV per cell
ΔE to the lowest computed polymorph = 0.0000 eV per atom

abc: 3.5336 3.5336 8.3768
angles: 90.00 90.00 90.00
Closest atoms and distances in Å follow each position.
Sites, in units of the cell vectors:
Se: 0.5000 0.5000 0.5000  8 Rb 3.52, 4 Se 3.53
Rb: 0.0000 0.0000 0.7968  4 F 3.02
Rb: 0.0000 0.0000 0.2032  4 F 3.02
F: 0.5000 0.5000 0.0000  8 Rb 3.02



## RbSeF3 (PBE)

Data for an optimized crystal structure of RbSeF3.

Computed properties:
Magnetic moment = 2.000 μB/f.u.
Calculated volume = 25.4 A^3/atom
Uncorrected formation energy = -0.6478 eV per atom
Crystal system = cubic
DOS at the Fermi energy = 3.01 states/eV per cell
ΔE to the lowest computed polymorph = 1.2947 eV per atom

abc: 5.0277 5.0277 5.0277
angles: 90.00 90.00 90.00
Closest atoms and distances in Å follow each position.
Sites, in units of the cell vectors:
Se: 0.5000 0.5000 0.5000  12 F 3.56
Rb: 0.0000 0.0000 0.0000  6 F 2.51
F: 0.0000 0.5000 0.0000  2 Rb 2.51
F: 0.0000 0.0000 0.5000  2 Rb 2.51
F: 0.5000 0.0000 0.0000  2 Rb 2.51